No. 1
A relaxed structure of DyTm5Sc2, computed with GGA-PBE.

Computed properties:
energy of formation from the pure elements	0.016	eV per atom
size of the total moment	0.005	Bohr magnetons per cell
space-group type	Fmm2, No. 42

Lattice parameters (Å, degrees): 8.1544 7.0124 6.4815 74.24 55.86 49.90
Closest atoms and distances in Å follow each position.
Atoms (fractional coordinates):
1 Dy 0.0000 0.0000 0.0000  2 Sc 3.38, 10 Tm 3.40-3.54
2 Tm 0.4155 0.4155 0.0845  6 Tm 3.40-3.51, 2 Dy 3.40, 4 Sc 3.50-3.52
3 Tm 0.4967 0.9972 0.5033  4 Sc 3.39, 6 Tm 3.41-3.53, 2 Dy 3.47-3.54
4 Tm 0.4995 0.4995 0.5005  2 Sc 3.38, 8 Tm 3.40-3.53, 2 Dy 3.51
5 Tm 0.9155 0.9155 0.5845  6 Tm 3.40-3.51, 2 Dy 3.40, 4 Sc 3.50-3.52
6 Tm 0.9972 0.4967 0.0028  4 Sc 3.39, 6 Tm 3.41-3.53, 2 Dy 3.47-3.54
7 Sc 0.4149 0.9141 0.0859  9 Tm 3.38-3.52, 1 Dy 3.38, 2 Sc 3.51
8 Sc 0.9141 0.4149 0.5851  9 Tm 3.38-3.52, 1 Dy 3.38, 2 Sc 3.51

No. 2
A relaxed structure of Dy3Tm5Sc12, computed with GGA-PBE.

Computed properties:
energy of formation from the pure elements	1.095	eV per atom
size of the total moment	0.067	Bohr magnetons per cell
space-group type	Ia-3d, No. 230

Lattice parameters (Å, degrees): 15.5569 15.5569 15.5569 109.47 109.47 109.47
Closest atoms and distances in Å follow each position.
Atoms (fractional coordinates):
1 Dy 0.1250 0.2500 0.3750  8 Sc 3.09-3.22
2 Dy 0.1250 0.3750 0.7500  8 Sc 3.09-3.22
3 Dy 0.2500 0.3750 0.1250  8 Sc 3.09-3.22
4 Dy 0.2500 0.8750 0.6250  8 Sc 3.09-3.22
5 Dy 0.3750 0.1250 0.2500  8 Sc 3.09-3.22
6 Dy 0.3750 0.7500 0.1250  8 Sc 3.09-3.22
7 Dy 0.6250 0.2500 0.8750  8 Sc 3.09-3.22
8 Dy 0.6250 0.8750 0.7500  8 Sc 3.09-3.22
9 Dy 0.7500 0.1250 0.3750  8 Sc 3.09-3.22
10 Dy 0.7500 0.6250 0.8750  8 Sc 3.09-3.22
11 Dy 0.8750 0.6250 0.2500  8 Sc 3.09-3.22
12 Dy 0.8750 0.7500 0.6250  8 Sc 3.09-3.22
13 Tm 0.0000 0.0000 0.0000  6 Sc 3.01
14 Tm 0.0000 0.0000 0.5000  6 Sc 3.01
15 Tm 0.0000 0.5000 0.0000  6 Sc 3.01
16 Tm 0.0000 0.5000 0.5000  6 Sc 3.01
17 Tm 0.1250 0.7500 0.8750  4 Sc 3.25
18 Tm 0.1250 0.8750 0.2500  4 Sc 3.25
19 Tm 0.2500 0.1250 0.8750  4 Sc 3.25
20 Tm 0.2500 0.6250 0.3750  4 Sc 3.25
21 Tm 0.3750 0.2500 0.6250  4 Sc 3.25
22 Tm 0.3750 0.6250 0.7500  4 Sc 3.25
23 Tm 0.5000 0.0000 0.0000  6 Sc 3.01
24 Tm 0.5000 0.0000 0.5000  6 Sc 3.01
25 Tm 0.5000 0.5000 0.0000  6 Sc 3.01
26 Tm 0.5000 0.5000 0.5000  6 Sc 3.01
27 Tm 0.6250 0.3750 0.2500  4 Sc 3.25
28 Tm 0.6250 0.7500 0.3750  4 Sc 3.25
29 Tm 0.7500 0.3750 0.6250  4 Sc 3.25
30 Tm 0.7500 0.8750 0.1250  4 Sc 3.25
31 Tm 0.8750 0.1250 0.7500  4 Sc 3.25
32 Tm 0.8750 0.2500 0.1250  4 Sc 3.25
33 Sc 0.0683 0.6489 0.4222  2 Tm 3.01-3.25, 3 Sc 3.05-3.22, 2 Dy 3.09-3.22
34 Sc 0.0683 0.9194 0.6461  2 Tm 3.01-3.25, 3 Sc 3.05-3.22, 2 Dy 3.09-3.22
35 Sc 0.0778 0.7267 0.6461  2 Tm 3.01-3.25, 3 Sc 3.05-3.22, 2 Dy 3.09-3.22
36 Sc 0.0778 0.8511 0.4317  2 Tm 3.01-3.25, 3 Sc 3.05-3.22, 2 Dy 3.09-3.22
37 Sc 0.0806 0.2267 0.1489  2 Tm 3.01-3.25, 3 Sc 3.05-3.22, 2 Dy 3.09-3.22
38 Sc 0.0806 0.3539 0.9317  2 Tm 3.01-3.25, 3 Sc 3.05-3.22, 2 Dy 3.09-3.22
39 Sc 0.1461 0.2267 0.5778  2 Tm 3.01-3.25, 3 Sc 3.05-3.22, 2 Dy 3.09-3.22
40 Sc 0.1461 0.4194 0.5683  2 Tm 3.01-3.25, 3 Sc 3.05-3.22, 2 Dy 3.09-3.22
41 Sc 0.1489 0.0806 0.2267  2 Tm 3.01-3.25, 3 Sc 3.05-3.22, 2 Dy 3.09-3.22
42 Sc 0.1489 0.5683 0.9222  2 Tm 3.01-3.25, 3 Sc 3.05-3.22, 2 Dy 3.09-3.22
43 Sc 0.2267 0.1489 0.0806  2 Tm 3.01-3.25, 3 Sc 3.05-3.22, 2 Dy 3.09-3.22
44 Sc 0.2267 0.5778 0.1461  2 Tm 3.01-3.25, 3 Sc 3.05-3.22, 2 Dy 3.09-3.22
45 Sc 0.2733 0.3539 0.9222  2 Tm 3.01-3.25, 3 Sc 3.05-3.22, 2 Dy 3.09-3.22
46 Sc 0.2733 0.4194 0.3511  2 Tm 3.01-3.25, 3 Sc 3.05-3.22, 2 Dy 3.09-3.22
47 Sc 0.3511 0.2733 0.4194  2 Tm 3.01-3.25, 3 Sc 3.05-3.22, 2 Dy 3.09-3.22
48 Sc 0.3511 0.5778 0.9317  2 Tm 3.01-3.25, 3 Sc 3.05-3.22, 2 Dy 3.09-3.22
49 Sc 0.3539 0.9222 0.2733  2 Tm 3.01-3.25, 3 Sc 3.05-3.22, 2 Dy 3.09-3.22
50 Sc 0.3539 0.9317 0.0806  2 Tm 3.01-3.25, 3 Sc 3.05-3.22, 2 Dy 3.09-3.22
51 Sc 0.4194 0.3511 0.2733  2 Tm 3.01-3.25, 3 Sc 3.05-3.22, 2 Dy 3.09-3.22
52 Sc 0.4194 0.5683 0.1461  2 Tm 3.01-3.25, 3 Sc 3.05-3.22, 2 Dy 3.09-3.22
53 Sc 0.4222 0.0683 0.6489  2 Tm 3.01-3.25, 3 Sc 3.05-3.22, 2 Dy 3.09-3.22
54 Sc 0.4222 0.8539 0.7733  2 Tm 3.01-3.25, 3 Sc 3.05-3.22, 2 Dy 3.09-3.22
55 Sc 0.4317 0.0778 0.8511  2 Tm 3.01-3.25, 3 Sc 3.05-3.22, 2 Dy 3.09-3.22
56 Sc 0.4317 0.8539 0.5806  2 Tm 3.01-3.25, 3 Sc 3.05-3.22, 2 Dy 3.09-3.22
57 Sc 0.5683 0.1461 0.4194  2 Tm 3.01-3.25, 3 Sc 3.05-3.22, 2 Dy 3.09-3.22
58 Sc 0.5683 0.9222 0.1489  2 Tm 3.01-3.25, 3 Sc 3.05-3.22, 2 Dy 3.09-3.22
59 Sc 0.5778 0.1461 0.2267  2 Tm 3.01-3.25, 3 Sc 3.05-3.22, 2 Dy 3.09-3.22
60 Sc 0.5778 0.9317 0.3511  2 Tm 3.01-3.25, 3 Sc 3.05-3.22, 2 Dy 3.09-3.22
61 Sc 0.5806 0.4317 0.8539  2 Tm 3.01-3.25, 3 Sc 3.05-3.22, 2 Dy 3.09-3.22
62 Sc 0.5806 0.6489 0.7267  2 Tm 3.01-3.25, 3 Sc 3.05-3.22, 2 Dy 3.09-3.22
63 Sc 0.6461 0.0683 0.9194  2 Tm 3.01-3.25, 3 Sc 3.05-3.22, 2 Dy 3.09-3.22
64 Sc 0.6461 0.0778 0.7267  2 Tm 3.01-3.25, 3 Sc 3.05-3.22, 2 Dy 3.09-3.22
65 Sc 0.6489 0.4222 0.0683  2 Tm 3.01-3.25, 3 Sc 3.05-3.22, 2 Dy 3.09-3.22
66 Sc 0.6489 0.7267 0.5806  2 Tm 3.01-3.25, 3 Sc 3.05-3.22, 2 Dy 3.09-3.22
67 Sc 0.7267 0.5806 0.6489  2 Tm 3.01-3.25, 3 Sc 3.05-3.22, 2 Dy 3.09-3.22
68 Sc 0.7267 0.6461 0.0778  2 Tm 3.01-3.25, 3 Sc 3.05-3.22, 2 Dy 3.09-3.22
69 Sc 0.7733 0.4222 0.8539  2 Tm 3.01-3.25, 3 Sc 3.05-3.22, 2 Dy 3.09-3.22
70 Sc 0.7733 0.8511 0.9194  2 Tm 3.01-3.25, 3 Sc 3.05-3.22, 2 Dy 3.09-3.22
71 Sc 0.8511 0.4317 0.0778  2 Tm 3.01-3.25, 3 Sc 3.05-3.22, 2 Dy 3.09-3.22
72 Sc 0.8511 0.9194 0.7733  2 Tm 3.01-3.25, 3 Sc 3.05-3.22, 2 Dy 3.09-3.22
73 Sc 0.8539 0.5806 0.4317  2 Tm 3.01-3.25, 3 Sc 3.05-3.22, 2 Dy 3.09-3.22
74 Sc 0.8539 0.7733 0.4222  2 Tm 3.01-3.25, 3 Sc 3.05-3.22, 2 Dy 3.09-3.22
75 Sc 0.9194 0.6461 0.0683  2 Tm 3.01-3.25, 3 Sc 3.05-3.22, 2 Dy 3.09-3.22
76 Sc 0.9194 0.7733 0.8511  2 Tm 3.01-3.25, 3 Sc 3.05-3.22, 2 Dy 3.09-3.22
77 Sc 0.9222 0.1489 0.5683  2 Tm 3.01-3.25, 3 Sc 3.05-3.22, 2 Dy 3.09-3.22
78 Sc 0.9222 0.2733 0.3539  2 Tm 3.01-3.25, 3 Sc 3.05-3.22, 2 Dy 3.09-3.22
79 Sc 0.9317 0.0806 0.3539  2 Tm 3.01-3.25, 3 Sc 3.05-3.22, 2 Dy 3.09-3.22
80 Sc 0.9317 0.3511 0.5778  2 Tm 3.01-3.25, 3 Sc 3.05-3.22, 2 Dy 3.09-3.22

No. 3
A relaxed structure of Dy3Tm3Sc2, computed with GGA-PBE.

Computed properties:
energy of formation from the pure elements	0.043	eV per atom
size of the total moment	0.000	Bohr magnetons per cell
energy above the lowest structure with this stoichiometry	0.0	kJ/mol of formula units
space-group type	Pmmm, No. 47

Lattice parameters (Å, degrees): 4.8837 4.8961 9.7262 90.00 90.00 90.00
Closest atoms and distances in Å follow each position.
Atoms (fractional coordinates):
1 Dy 0.0000 0.0000 0.0000  4 Sc 3.45, 4 Tm 3.45, 4 Dy 3.46
2 Dy 0.0000 0.0000 0.5000  4 Sc 3.44, 8 Tm 3.45-3.46
3 Dy 0.5000 0.5000 0.0000  4 Tm 3.45, 4 Sc 3.46, 4 Dy 3.46
4 Tm 0.0000 0.5000 0.2506  2 Tm 3.44, 6 Dy 3.45, 4 Sc 3.46
5 Tm 0.0000 0.5000 0.7494  2 Tm 3.44, 6 Dy 3.45, 4 Sc 3.46
6 Tm 0.5000 0.5000 0.5000  4 Tm 3.44, 4 Sc 3.44, 4 Dy 3.46
7 Sc 0.5000 0.0000 0.2509  6 Dy 3.44-3.46, 6 Tm 3.44-3.46
8 Sc 0.5000 0.0000 0.7491  6 Dy 3.44-3.46, 6 Tm 3.44-3.46

Question: Look up the energy of formation from the pure elements of the second one.
Answer: 1.095 eV per atom